Ho3TmCu3 | PBE | optimized geometry

a = 9.840 Å, b = 9.884 Å, c = 6.781 Å
α = 90.00°, β = 104.01°, γ = 90.00°
Space group C2/m (No. 12)
Asymmetric unit:
Ho1 0.000 0.180 0.000 x4
Ho2 0.000 0.264 0.500 x4
Ho3 0.166 0.500 0.940 x4
Tm1 0.246 0.500 0.482 x4
Cu1 0.048 0.000 0.701 x4
Cu2 0.239 0.223 0.796 x8

=====

Ho4TmCu4 | PBE | optimized geometry

a = 8.568 Å, b = 8.568 Å, c = 5.839 Å
α = 90.00°, β = 90.00°, γ = 90.00°
Space group P4_2/n (No. 86, origin choice 2)
Asymmetric unit:
Ho1 0.055 0.664 0.150 x8
Tm1 0.250 0.250 0.250 x2
Cu1 0.021 0.621 0.628 x8

=====

Ho3Tm12Cu5 | PBE | optimized geometry

a = 17.107 Å, b = 17.107 Å, c = 17.107 Å
α = 90.00°, β = 90.00°, γ = 90.00°
Space group Ia-3d (No. 230)
Asymmetric unit:
Ho1 0.000 0.250 0.125 x24
Tm1 0.033 0.061 0.642 x96
Cu1 0.000 0.000 0.000 x16
Cu2 0.000 0.250 0.375 x24

=====

Ho3Tm4Cu4 | PBE | optimized geometry

a = 4.769 Å, b = 7.289 Å, c = 14.876 Å
α = 90.00°, β = 90.00°, γ = 90.00°
Space group Immm (No. 71)
Asymmetric unit:
Ho1 0.000 0.000 0.000 x2
Ho2 0.000 0.500 0.105 x4
Tm1 0.000 0.281 0.328 x8
Cu1 0.000 0.000 0.202 x4
Cu2 0.000 0.168 0.500 x4

=====

HoTmCu10 | PBE | optimized geometry

a = 4.094 Å, b = 5.030 Å, c = 8.626 Å
α = 90.00°, β = 90.00°, γ = 90.00°
Space group Pmmm (No. 47)
Asymmetric unit:
Ho1 0.000 0.000 0.000 x1
Tm1 0.000 0.500 0.500 x1
Cu1 0.000 0.000 0.334 x2
Cu2 0.000 0.500 0.168 x2
Cu3 0.500 0.000 0.500 x1
Cu4 0.500 0.250 0.251 x4
Cu5 0.500 0.500 0.000 x1

=====

Ho2TmCu2 | PBE | optimized geometry

Polymorph energy (0 for the lowest one)   0 meV per atom

a = 3.470 Å, b = 5.008 Å, c = 13.003 Å
α = 90.00°, β = 97.66°, γ = 90.00°
Space group P2_1/m (No. 11)
Asymmetric unit:
Ho1 0.047 0.250 0.093 x2
Ho2 0.230 0.250 0.459 x2
Tm1 0.142 0.750 0.283 x2
Cu1 0.359 0.750 0.720 x2
Cu2 0.453 0.250 0.906 x2

=====

Number 1: formation energy -147 meV per atom. Number 2: formation energy -45 meV per atom. Number 3: formation energy 454 meV per atom. Number 4: formation energy -99 meV per atom. Number 5: formation energy -194 meV per atom. Number 6: formation energy -185 meV per atom.